# 1
VASP calculation (GGA-PBE) on a relaxed CrSi4Br crystal.

Unit cell a=5.245 b=5.245 c=5.245 alpha=60.00 beta=60.00 gamma=60.00
Each line ends with the local moment (μB).
Element x y z (fractional)
Si (0.376, 0.376, 0.873)  -0.02
Si (0.873, 0.376, 0.376)  -0.02
Si (0.376, 0.873, 0.376)  -0.02
Si (0.376, 0.376, 0.376)  -0.02
Cr (0.000, 0.000, 0.000)  3.64
Br (0.750, 0.750, 0.750)  0.02

Computed properties:
Its space group is F-43m, No. 216. Its density of states at the Fermi level is 3.959 states/eV/cell. The value obtained for the density is 3.98 g/cm3. The calculated total energy is -4.8832 eV/atom. Its total magnetic moment is 3.85 μB per cell.

=====

# 2
VASP calculation (GGA-PBE) on a relaxed CrSi2Br crystal.

Unit cell a=6.900 b=6.900 c=6.900 alpha=149.71 beta=149.71 gamma=43.37
Each line ends with the local moment (μB).
Element x y z (fractional)
Cr (0.750, 0.250, 0.500)  3.90
Si (0.000, 0.000, 0.000)  -0.03
Br (0.250, 0.750, 0.500)  0.02
Si (0.500, 0.500, 0.000)  -0.03

Computed properties:
Its space group is I4/mmm, No. 139. Its energy above the lowest structure with this stoichiometry is 468 meV per atom. Its density of states at the Fermi level is 2.211 states/eV/cell. The value obtained for the density is 3.75 g/cm3. The calculated total energy is -4.9624 eV/atom. Its total magnetic moment is 4.21 μB per cell.

=====

# 3
VASP calculation (GGA-PBE) on a relaxed Cr3SiBr crystal.

Unit cell a=4.391 b=4.391 c=4.391 alpha=90.00 beta=90.00 gamma=90.00
Element x y z (fractional)
Br (0.500, 0.500, 0.500)
Cr (0.500, 0.000, 0.000)
Si (0.000, 0.000, 0.000)
Cr (0.000, 0.500, 0.000)
Cr (0.000, 0.000, 0.500)

Computed properties:
Its space group is Pm-3m, No. 221. Its energy above the lowest structure with this stoichiometry is 0 meV per atom. Its density of states at the Fermi level is 9.882 states/eV/cell. The value obtained for the density is 5.18 g/cm3. The calculated total energy is -5.7991 eV/atom. Its total magnetic moment is 0.00 μB per cell.

=====

# 4
VASP calculation (GGA-PBE) on a relaxed CrSiBr2 crystal.

Unit cell a=8.029 b=8.029 c=4.065 alpha=82.79 beta=82.79 gamma=23.56
Each line ends with the local moment (μB).
Element x y z (fractional)
Si (0.750, 0.750, 0.750)  -0.13
Br (0.614, 0.614, 0.447)  -0.03
Cr (0.250, 0.250, 0.250)  2.89
Br (0.886, 0.886, 0.053)  -0.03

Computed properties:
Its space group is C2/m, No. 12. Its energy above the lowest structure with this stoichiometry is 110 meV per atom. Its density of states at the Fermi level is 2.528 states/eV/cell. The value obtained for the density is 3.84 g/cm3. The calculated total energy is -4.5638 eV/atom. Its total magnetic moment is 2.79 μB per cell.

=====

# 5
VASP calculation (GGA-PBE) on a relaxed Cr2SiWBr crystal.

Unit cell a=4.872 b=4.807 c=4.872 alpha=90.00 beta=90.00 gamma=90.00
Each line ends with the local moment (μB).
Element x y z (fractional)
Cr (0.500, 0.000, 0.000)  3.46
Br (0.500, 0.500, 0.500)  0.00
W (0.000, 0.000, 0.000)  -0.83
Cr (0.000, 0.000, 0.500)  2.90
Si (0.000, 0.500, 0.000)  -0.04

Computed properties:
Its space group is P4/mmm, No. 123. Its density of states at the Fermi level is 3.059 states/eV/cell. The value obtained for the density is 5.76 g/cm3. The calculated total energy is -6.6515 eV/atom. Its total magnetic moment is 6.00 μB per cell.

=====

# 6
VASP calculation (GGA-PBE) on a relaxed SmCrBr6 crystal.

Unit cell a=6.800 b=6.800 c=7.298 alpha=62.24 beta=62.24 gamma=60.01
Each line ends with the local moment (μB).
Element x y z (fractional)
Sm (0.500, 0.500, 0.500)  0.01
Cr (0.000, 0.000, 0.000)  2.92
Br (0.774, 0.075, 0.765)  -0.03
Br (0.925, 0.613, 0.235)  -0.03
Br (0.226, 0.925, 0.235)  -0.03
Br (0.613, 0.226, 0.235)  -0.03
Br (0.075, 0.387, 0.765)  -0.03
Br (0.387, 0.774, 0.765)  -0.03

Computed properties:
Its space group is R-3, No. 148. The value obtained for the density is 4.59 g/cm3. The calculated total energy is -4.2576 eV/atom. Its total magnetic moment is 3.00 μB per cell.